[1]
Here is an optimized crystal structure of Li2Eu from the Alexandria database. Energies are from GGA-PBE.

```
3
Lattice="-1.390 -0.166 3.524 -0.489 -3.742 -0.370 6.368 1.038 0.522" Properties=species:S:1:pos:R:3 pbc="T T T"
Li 3.285 -0.555 1.270
Li 1.203 -2.316 2.406
Eu 0.000 0.000 0.000
```


[2]
Here is an optimized crystal structure of LiEu2 from the Alexandria database. Energies are from GGA-PBE.

```
6
Lattice="-5.488 0.516 -4.358 -5.806 -3.773 1.199 -5.888 3.192 2.127" Properties=species:S:1:pos:R:3 pbc="T T T"
Eu -7.995 -0.299 1.534
Eu -7.836 1.846 -1.244
Eu -10.739 -0.041 -0.645
Eu -7.795 -1.637 -1.709
Li -4.295 -0.016 -0.258
Li 0.000 0.000 0.000
```


[3]
Here is an optimized crystal structure of LiEu2 from the Alexandria database. Energies are from GGA-PBE.

```
3
Lattice="-1.499 3.092 -1.990 0.539 -1.941 -3.422 -5.749 -3.250 3.242" Properties=species:S:1:pos:R:3 pbc="T T T"
Eu -4.364 -1.874 0.375
Eu -2.345 -0.225 -2.546
Li 0.000 0.000 0.000
```


Number 1: formation energy from the elements 47 meV per atom, N(E_F) 7.09 states/eV per cell. Number 2: formation energy from the elements 338 meV per atom, N(E_F) 4.57 states/eV per cell. Number 3: formation energy from the elements 48 meV per atom, N(E_F) 2.38 states/eV per cell.